Entry 1:
{"formula": "Be3Cd5", "functional": "PBE-GGA", "state": "optimized geometry", "dft_energy_ev_per_atom": -1.525, "e_above_lowest_polymorph_ev_per_atom": 0.069, "delta_e_f_kj_per_mol_atoms": 43, "dos_at_fermi_per_ev_fu": 2.3, "lattice": [[4.007, -4.277, 0.000], [4.007, 4.277, 0.000], [0.000, 0.000, 4.053]], "species": ["Cd", "Be", "Cd", "Cd", "Cd", "Be", "Be", "Cd"], "fractional_positions": [[0.000, 0.000, 0.000], [0.252, 0.748, 0.500], [0.291, 0.291, 0.500], [0.709, 0.709, 0.500], [0.000, 0.500, 0.000], [0.500, 0.500, 0.000], [0.748, 0.252, 0.500], [0.500, 0.000, 0.000]]}



Entry 2:
{"formula": "Be5Cd", "functional": "PBE-GGA", "state": "optimized geometry", "dft_energy_ev_per_atom": -2.901, "e_above_lowest_polymorph_ev_per_atom": 0.153, "delta_e_f_kj_per_mol_atoms": 34, "dos_at_fermi_per_ev_fu": 1.3, "lattice": [[1.737, -5.191, 0.000], [1.737, 5.191, 0.000], [0.000, 0.000, 3.477]], "species": ["Be", "Be", "Be", "Cd", "Be", "Be"], "fractional_positions": [[0.684, 0.316, 0.500], [0.817, 0.183, 0.000], [0.316, 0.684, 0.500], [0.500, 0.500, 0.000], [0.183, 0.817, 0.000], [0.000, 0.000, 0.500]]}



Entry 3:
{"formula": "Be6Cd", "functional": "PBE-GGA", "state": "optimized geometry", "dft_energy_ev_per_atom": -2.139, "delta_e_f_kj_per_mol_atoms": 114, "dos_at_fermi_per_ev_fu": 5.2, "lattice": [[-0.420, -0.010, 4.999], [2.974, -3.776, -1.435], [1.984, 4.355, -1.503]], "species": ["Cd", "Be", "Be", "Be", "Be", "Be", "Be"], "fractional_positions": [[0.000, 0.000, 0.000], [0.500, 0.250, 0.750], [0.750, 0.500, 0.250], [0.250, 0.500, 0.750], [0.250, 0.750, 0.500], [0.500, 0.750, 0.250], [0.750, 0.250, 0.500]]}



Entry 4:
{"formula": "BeCd5", "functional": "PBE-GGA", "state": "optimized geometry", "dft_energy_ev_per_atom": -1.140, "e_above_lowest_polymorph_ev_per_atom": 0.093, "delta_e_f_kj_per_mol_atoms": 24, "dos_at_fermi_per_ev_fu": 2.1, "lattice": [[2.157, -6.521, 0.000], [2.157, 6.521, 0.000], [0.000, 0.000, 4.285]], "species": ["Be", "Cd", "Cd", "Cd", "Cd", "Cd"], "fractional_positions": [[0.500, 0.500, 0.000], [0.000, 0.000, 0.500], [0.841, 0.159, 0.000], [0.658, 0.342, 0.500], [0.159, 0.841, 0.000], [0.342, 0.658, 0.500]]}



Entry 5:
{"formula": "BeCd3", "functional": "PBE-GGA", "state": "optimized geometry", "dft_energy_ev_per_atom": -1.360, "e_above_lowest_polymorph_ev_per_atom": 0.058, "delta_e_f_kj_per_mol_atoms": 25, "dos_at_fermi_per_ev_fu": 1.3, "lattice": [[-1.302, 5.494, -3.358], [-5.053, -4.192, -0.219], [-1.507, 1.646, 3.277]], "species": ["Cd", "Be", "Cd", "Be", "Cd", "Cd", "Cd", "Cd"], "fractional_positions": [[0.444, 0.148, 0.750], [0.539, 0.461, 0.250], [0.852, 0.556, 0.750], [0.461, 0.539, 0.750], [0.899, 0.101, 0.750], [0.148, 0.444, 0.250], [0.556, 0.852, 0.250], [0.101, 0.899, 0.250]]}



Entry 6:
{"formula": "Be4Cd3", "functional": "PBE-GGA", "state": "optimized geometry", "dft_energy_ev_per_atom": -1.774, "e_above_lowest_polymorph_ev_per_atom": 0.348, "delta_e_f_kj_per_mol_atoms": 72, "dos_at_fermi_per_ev_fu": 2.7, "lattice": [[3.245, 0.484, 4.479], [-5.522, -0.059, 0.566], [0.086, -4.223, 0.394]], "species": ["Be", "Be", "Cd", "Be", "Be", "Cd", "Cd"], "fractional_positions": [[0.000, 0.000, 0.255], [0.000, 0.000, 0.745], [0.000, 0.500, 0.000], [0.333, 0.667, 0.500], [0.667, 0.333, 0.500], [0.500, 0.500, 0.000], [0.500, 0.000, 0.000]]}



Entry 7:
{"formula": "BeCd", "functional": "PBE-GGA", "state": "optimized geometry", "dft_energy_ev_per_atom": -1.254, "e_above_lowest_polymorph_ev_per_atom": 0.796, "delta_e_f_kj_per_mol_atoms": 103, "dos_at_fermi_per_ev_fu": 1.1, "lattice": [[-3.054, -5.453, -2.865], [4.441, 0.267, -5.242], [4.269, -4.179, 3.404]], "species": ["Cd", "Cd", "Be", "Be", "Cd", "Cd", "Be", "Be", "Be", "Cd", "Be", "Cd"], "fractional_positions": [[0.250, 0.000, 0.500], [0.750, 0.000, 0.500], [0.000, 0.750, 0.500], [0.750, 0.500, 0.000], [0.000, 0.500, 0.250], [0.500, 0.750, 0.000], [0.000, 0.250, 0.500], [0.500, 0.000, 0.250], [0.500, 0.000, 0.750], [0.000, 0.500, 0.750], [0.250, 0.500, 0.000], [0.500, 0.250, 0.000]]}



Entry 8:
{"formula": "BeCd5", "functional": "PBE-GGA", "state": "optimized geometry", "dft_energy_ev_per_atom": -0.873, "e_above_lowest_polymorph_ev_per_atom": 0.360, "delta_e_f_kj_per_mol_atoms": 49, "dos_at_fermi_per_ev_fu": 2.2, "lattice": [[2.751, -4.765, 0.000], [2.751, 4.765, 0.000], [0.000, 0.000, 5.401]], "species": ["Cd", "Be", "Cd", "Cd", "Cd", "Cd"], "fractional_positions": [[0.667, 0.333, 0.000], [0.000, 0.000, 0.000], [0.500, 0.500, 0.500], [0.333, 0.667, 0.000], [0.500, 0.000, 0.500], [0.000, 0.500, 0.500]]}



Entry 9:
{"formula": "Be2Cd3", "functional": "PBE-GGA", "state": "optimized geometry", "dft_energy_ev_per_atom": -1.577, "e_above_lowest_polymorph_ev_per_atom": 0.178, "delta_e_f_kj_per_mol_atoms": 45, "dos_at_fermi_per_ev_fu": 2.0, "lattice": [[0.457, 9.241, -5.463], [-2.574, 9.081, -5.134], [-0.861, 10.304, -2.922]], "species": ["Cd", "Be", "Be", "Cd", "Cd"], "fractional_positions": [[0.791, 0.791, 0.791], [0.604, 0.604, 0.604], [0.396, 0.396, 0.396], [0.209, 0.209, 0.209], [0.000, 0.000, 0.000]]}



Entry 10:
{"formula": "BeCd5", "functional": "PBE-GGA", "state": "optimized geometry", "dft_energy_ev_per_atom": -1.134, "e_above_lowest_polymorph_ev_per_atom": 0.098, "delta_e_f_kj_per_mol_atoms": 24, "dos_at_fermi_per_ev_fu": 1.6, "lattice": [[-0.226, -1.023, 5.109], [-1.679, -3.538, -3.444], [4.627, -2.003, -0.197]], "species": ["Cd", "Be", "Cd", "Cd", "Cd", "Cd"], "fractional_positions": [[0.322, 0.322, 0.000], [0.000, 0.000, 0.500], [0.678, 0.000, 0.000], [0.667, 0.333, 0.500], [0.333, 0.667, 0.500], [0.000, 0.678, 0.000]]}



Entry 11:
{"formula": "BeCd", "functional": "PBE-GGA", "state": "optimized geometry", "dft_energy_ev_per_atom": -1.802, "e_above_lowest_polymorph_ev_per_atom": 0.248, "delta_e_f_kj_per_mol_atoms": 50, "dos_at_fermi_per_ev_fu": 0.9, "lattice": [[7.294, 0.000, 0.000], [0.000, 12.582, 0.000], [0.000, 0.000, 5.874]], "species": ["Cd", "Cd", "Cd", "Be", "Cd", "Be", "Cd", "Be", "Be", "Cd", "Be", "Cd", "Be", "Cd", "Cd", "Be", "Cd", "Be", "Cd", "Be", "Cd", "Cd", "Be", "Be", "Cd", "Be", "Be", "Cd", "Be", "Cd", "Be", "Be"], "fractional_positions": [[0.188, 0.000, 0.500], [0.188, 0.500, 0.000], [0.438, 0.250, 0.250], [0.000, 0.412, 0.500], [0.062, 0.750, 0.750], [0.250, 0.338, 0.750], [0.562, 0.250, 0.750], [0.000, 0.088, 0.000], [0.250, 0.162, 0.750], [0.438, 0.750, 0.750], [0.750, 0.838, 0.750], [0.062, 0.250, 0.250], [0.750, 0.662, 0.750], [0.312, 0.500, 0.500], [0.688, 0.500, 0.500], [0.250, 0.662, 0.250], [0.562, 0.750, 0.250], [0.250, 0.838, 0.250], [0.812, 0.000, 0.500], [0.000, 0.912, 0.000], [0.938, 0.750, 0.250], [0.812, 0.500, 0.000], [0.500, 0.912, 0.500], [0.500, 0.088, 0.500], [0.938, 0.250, 0.750], [0.500, 0.588, 0.000], [0.750, 0.338, 0.250], [0.688, 0.000, 0.000], [0.750, 0.162, 0.250], [0.312, 0.000, 0.000], [0.000, 0.588, 0.500], [0.500, 0.412, 0.000]]}



Entry 12:
{"formula": "BeCd3", "functional": "PBE-GGA", "state": "optimized geometry", "dft_energy_ev_per_atom": -1.336, "e_above_lowest_polymorph_ev_per_atom": 0.081, "delta_e_f_kj_per_mol_atoms": 27, "dos_at_fermi_per_ev_fu": 0.8, "lattice": [[-2.973, 5.747, 6.631], [-3.082, 3.047, 8.189], [-0.404, 4.638, 8.010]], "species": ["Be", "Cd", "Cd", "Cd"], "fractional_positions": [[0.000, 0.000, 0.000], [0.736, 0.736, 0.736], [0.264, 0.264, 0.264], [0.500, 0.500, 0.500]]}



Entry 13:
{"formula": "Be3Cd", "functional": "PBE-GGA", "state": "optimized geometry", "dft_energy_ev_per_atom": -2.552, "e_above_lowest_polymorph_ev_per_atom": 0.189, "delta_e_f_kj_per_mol_atoms": 45, "dos_at_fermi_per_ev_fu": 1.0, "lattice": [[3.590, 0.000, 0.000], [0.000, 3.590, 0.000], [0.000, 0.000, 3.590]], "species": ["Be", "Be", "Be", "Cd"], "fractional_positions": [[0.000, 0.500, 0.500], [0.500, 0.000, 0.500], [0.500, 0.500, 0.000], [0.000, 0.000, 0.000]]}



Entry 14:
{"formula": "BeCd", "functional": "PBE-GGA", "state": "optimized geometry", "dft_energy_ev_per_atom": -1.819, "e_above_lowest_polymorph_ev_per_atom": 0.231, "delta_e_f_kj_per_mol_atoms": 48, "dos_at_fermi_per_ev_fu": 0.3, "lattice": [[2.949, 0.000, 0.000], [-1.475, 2.554, 0.000], [0.000, 0.000, 4.091]], "species": ["Be", "Cd"], "fractional_positions": [[0.000, 0.000, 0.000], [0.333, 0.667, 0.500]]}



Entry 15:
{"formula": "Be3Cd", "functional": "PBE-GGA", "state": "optimized geometry", "dft_energy_ev_per_atom": -2.621, "e_above_lowest_polymorph_ev_per_atom": 0.120, "delta_e_f_kj_per_mol_atoms": 39, "dos_at_fermi_per_ev_fu": 0.4, "lattice": [[-4.367, -0.316, -3.053], [1.681, -4.268, 2.729], [-2.168, 1.059, 2.992]], "species": ["Cd", "Be", "Be", "Be", "Cd", "Be", "Be", "Be"], "fractional_positions": [[0.393, 0.607, 0.750], [0.050, 0.362, 0.250], [0.932, 0.068, 0.750], [0.950, 0.638, 0.750], [0.607, 0.393, 0.250], [0.068, 0.932, 0.250], [0.362, 0.050, 0.750], [0.638, 0.950, 0.250]]}



Entry 16:
{"formula": "Be3Cd4", "functional": "PBE-GGA", "state": "optimized geometry", "dft_energy_ev_per_atom": -1.755, "e_above_lowest_polymorph_ev_per_atom": 0.023, "delta_e_f_kj_per_mol_atoms": 35, "dos_at_fermi_per_ev_fu": 2.0, "lattice": [[-6.288, -6.285, 10.281], [-9.568, -5.568, 7.886], [8.214, 4.111, -10.019]], "species": ["Cd", "Be", "Cd", "Cd", "Be", "Cd", "Be"], "fractional_positions": [[0.435, 0.435, 0.000], [0.268, 0.268, 0.000], [0.161, 0.161, 0.000], [0.565, 0.565, 0.000], [0.732, 0.732, 0.000], [0.839, 0.839, 0.000], [0.000, 0.000, 0.000]]}



Entry 17:
{"formula": "BeCd", "functional": "PBE-GGA", "state": "optimized geometry", "dft_energy_ev_per_atom": -1.717, "e_above_lowest_polymorph_ev_per_atom": 0.333, "delta_e_f_kj_per_mol_atoms": 58, "dos_at_fermi_per_ev_fu": 0.8, "lattice": [[-6.476, -3.827, 1.566], [3.093, -6.414, -2.887], [1.014, -0.666, 2.565]], "species": ["Cd", "Cd", "Be", "Be", "Be", "Cd", "Be", "Cd"], "fractional_positions": [[0.287, 0.287, 0.000], [0.713, 0.713, 0.000], [0.404, 0.596, 0.000], [0.596, 0.404, 0.000], [0.096, 0.096, 0.500], [0.213, 0.787, 0.500], [0.904, 0.904, 0.500], [0.787, 0.213, 0.500]]}



Entry 18:
{"formula": "Be3Cd", "functional": "PBE-GGA", "state": "optimized geometry", "dft_energy_ev_per_atom": -2.418, "e_above_lowest_polymorph_ev_per_atom": 0.323, "delta_e_f_kj_per_mol_atoms": 58, "dos_at_fermi_per_ev_fu": 0.7, "lattice": [[-4.205, -1.763, 1.052], [3.035, -2.913, -2.049], [1.786, 3.093, 3.024]], "species": ["Be", "Be", "Cd", "Be"], "fractional_positions": [[0.000, 0.000, 0.000], [0.500, 0.000, 0.500], [0.000, 0.500, 0.500], [0.500, 0.500, 0.000]]}



Entry 19:
{"formula": "Be5Cd", "functional": "PBE-GGA", "state": "optimized geometry", "dft_energy_ev_per_atom": -2.933, "e_above_lowest_polymorph_ev_per_atom": 0.122, "delta_e_f_kj_per_mol_atoms": 31, "dos_at_fermi_per_ev_fu": 0.5, "lattice": [[4.122, -1.747, -0.325], [4.401, 0.863, -0.191], [1.625, -0.461, 5.600]], "species": ["Be", "Be", "Be", "Be", "Cd", "Be"], "fractional_positions": [[0.675, 0.675, 0.644], [0.017, 0.017, 0.905], [0.035, 0.035, 0.446], [0.332, 0.332, 0.378], [0.715, 0.715, 0.083], [0.391, 0.391, 0.711]]}



Entry 20:
{"formula": "Be5Cd", "functional": "PBE-GGA", "state": "optimized geometry", "dft_energy_ev_per_atom": -2.953, "e_above_lowest_polymorph_ev_per_atom": 0.102, "delta_e_f_kj_per_mol_atoms": 29, "dos_at_fermi_per_ev_fu": 1.2, "lattice": [[-0.538, 1.180, -2.391], [1.260, -2.037, -1.288], [-7.299, -4.233, -0.446]], "species": ["Be", "Cd", "Be", "Be", "Be", "Be"], "fractional_positions": [[0.000, 0.000, 0.726], [0.500, 0.500, 0.500], [0.000, 0.000, 0.000], [0.000, 0.000, 0.274], [0.500, 0.500, 0.136], [0.500, 0.500, 0.864]]}



Entry 21:
{"formula": "BeCd5", "functional": "PBE-GGA", "state": "optimized geometry", "dft_energy_ev_per_atom": -1.137, "e_above_lowest_polymorph_ev_per_atom": 0.096, "delta_e_f_kj_per_mol_atoms": 24, "dos_at_fermi_per_ev_fu": 1.6, "lattice": [[1.599, -7.728, 0.000], [1.599, 7.728, 0.000], [0.000, 0.000, 4.864]], "species": ["Be", "Cd", "Cd", "Cd", "Cd", "Cd"], "fractional_positions": [[0.003, 0.997, 0.000], [0.776, 0.224, 0.500], [0.450, 0.550, 0.500], [0.105, 0.895, 0.500], [0.652, 0.348, 0.000], [0.348, 0.652, 0.000]]}



Entry 22:
{"formula": "Be3Cd2", "functional": "PBE-GGA", "state": "optimized geometry", "dft_energy_ev_per_atom": -2.124, "e_above_lowest_polymorph_ev_per_atom": 0.000, "delta_e_f_kj_per_mol_atoms": 46, "dos_at_fermi_per_ev_fu": 1.0, "lattice": [[0.000, 4.446, 11.209], [1.422, 0.000, 11.209], [1.422, 4.446, 0.000]], "species": ["Be", "Be", "Be", "Cd", "Be", "Cd", "Cd", "Be", "Be", "Cd"], "fractional_positions": [[0.734, 0.602, 0.880], [0.648, 0.516, 0.466], [0.983, 0.017, 0.017], [0.023, 0.595, 0.906], [0.784, 0.880, 0.602], [0.655, 0.227, 0.775], [0.475, 0.906, 0.595], [0.233, 0.267, 0.267], [0.370, 0.466, 0.516], [0.344, 0.775, 0.227]]}



Entry 23:
{"formula": "BeCd", "functional": "PBE-GGA", "state": "optimized geometry", "dft_energy_ev_per_atom": -1.931, "e_above_lowest_polymorph_ev_per_atom": 0.119, "delta_e_f_kj_per_mol_atoms": 38, "dos_at_fermi_per_ev_fu": 0.7, "lattice": [[8.343, 0.000, 0.000], [0.000, 8.343, 0.000], [0.000, 0.000, 3.854]], "species": ["Be", "Cd", "Be", "Be", "Be", "Cd", "Cd", "Be", "Cd", "Be", "Cd", "Cd", "Cd", "Be", "Be", "Cd"], "fractional_positions": [[0.797, 0.797, 0.000], [0.500, 0.236, 0.000], [0.703, 0.703, 0.500], [0.703, 0.297, 0.500], [0.203, 0.797, 0.000], [0.000, 0.736, 0.500], [0.764, 0.500, 0.000], [0.297, 0.297, 0.500], [0.736, 0.000, 0.500], [0.797, 0.203, 0.000], [0.000, 0.264, 0.500], [0.264, 0.000, 0.500], [0.236, 0.500, 0.000], [0.203, 0.203, 0.000], [0.297, 0.703, 0.500], [0.500, 0.764, 0.000]]}



Entry 24:
{"formula": "BeCd3", "functional": "PBE-GGA", "state": "optimized geometry", "dft_energy_ev_per_atom": -1.298, "e_above_lowest_polymorph_ev_per_atom": 0.120, "delta_e_f_kj_per_mol_atoms": 31, "dos_at_fermi_per_ev_fu": 0.6, "lattice": [[-1.100, -4.595, -1.249], [-0.007, -1.437, 5.291], [-5.594, 1.249, 0.331]], "species": ["Cd", "Be", "Cd", "Cd", "Cd", "Cd", "Be", "Cd"], "fractional_positions": [[0.834, 0.500, 0.742], [0.330, 0.500, 0.500], [0.834, 0.500, 0.258], [0.166, 0.000, 0.242], [0.166, 0.000, 0.758], [0.659, 0.000, 0.500], [0.670, 0.000, 0.000], [0.341, 0.500, 0.000]]}



Entry 25:
{"formula": "BeCd", "functional": "PBE-GGA", "state": "optimized geometry", "dft_energy_ev_per_atom": -1.837, "e_above_lowest_polymorph_ev_per_atom": 0.213, "delta_e_f_kj_per_mol_atoms": 47, "dos_at_fermi_per_ev_fu": 0.2, "lattice": [[2.159, -2.493, 0.000], [2.159, 2.493, 0.000], [0.000, 0.000, 2.837]], "species": ["Be", "Cd"], "fractional_positions": [[0.500, 0.500, 0.500], [0.000, 0.000, 0.000]]}